{
  "formula": "YCuC",
  "functional": "PBE",
  "state": "optimized geometry",
  "crystal_system": "monoclinic",
  "rho_g_cm3": 6.46,
  "m_tot_mub_per_atom": 0.0000,
  "total_energy_ev_per_atom": -6.53,
  "delta_e_f_ev_per_atom": 0.07,
  "n_ef_per_ev_cell": 3.8,
  "lattice": [[3.668, -0.002, 0.006], [0.000, 3.668, -0.003], [-1.856, 1.859, 6.282]],
  "species": ["C", "C", "Y", "Y", "Cu", "Cu"],
  "frac_coords": [[0.185, 0.864, 0.866], [0.435, 0.112, 0.366], [0.765, 0.280, 0.033], [0.017, 0.534, 0.533], [0.604, 0.946, 0.704], [0.352, 0.693, 0.204]]
}



{
  "formula": "MnAlAg2",
  "functional": "PBE",
  "state": "optimized geometry",
  "crystal_system": "tetragonal",
  "rho_g_cm3": 6.93,
  "m_tot_mub_per_atom": 0.8298,
  "total_energy_ev_per_atom": -4.33,
  "delta_e_f_ev_per_atom": 0.32,
  "n_ef_per_ev_cell": 3.5,
  "lattice": [[3.854, 0.000, 0.000], [0.000, 3.854, 0.000], [1.927, 1.927, 9.606]],
  "species": ["Ag", "Ag", "Ag", "Ag", "Al", "Al", "Mn", "Mn"],
  "frac_coords": [[0.875, 0.873, 0.750], [0.623, 0.125, 0.250], [0.127, 0.625, 0.250], [0.375, 0.377, 0.750], [0.500, 0.500, 0.000], [0.250, 0.750, 0.500], [0.000, 0.000, 0.000], [0.750, 0.250, 0.500]]
}



{
  "formula": "KRb2CdAs",
  "functional": "PBE",
  "state": "optimized geometry",
  "crystal_system": "tetragonal",
  "rho_g_cm3": 2.50,
  "m_tot_mub_per_atom": 0.0188,
  "total_energy_ev_per_atom": -1.80,
  "delta_e_f_ev_per_atom": -0.09,
  "n_ef_per_ev_cell": 4.4,
  "lattice": [[7.017, 0.000, 0.000], [0.000, 7.017, 0.000], [0.000, 0.000, 5.350]],
  "species": ["As", "K", "Cd", "Rb", "Rb"],
  "frac_coords": [[0.000, 0.000, 0.000], [0.500, 0.500, 0.500], [0.000, 0.000, 0.500], [0.000, 0.500, 0.000], [0.500, 0.000, 0.000]]
}